# PBE Er11Sc9Pb4, optimized geometry
data_Er11Sc9Pb4
_chemical_formula_sum 'Er22 Sc18 Pb8'
_space_group_name_H-M_alt 'C m m m'
_space_group_IT_number 65
_space_group_name_Hall '-C 2 2'
_cell_length_a 15.5647
_cell_length_b 23.4143
_cell_length_c 3.6461
_cell_angle_alpha 90.00
_cell_angle_beta 90.00
_cell_angle_gamma 90.00
loop_
_atom_site_label
_atom_site_fract_x
_atom_site_fract_y
_atom_site_fract_z
Er1 0.0000 0.0000 0.0000
Er2 0.0000 0.1609 0.0000
Er3 0.0000 0.3665 0.0000
Er4 0.2263 0.1807 0.0000
Er5 0.2282 0.5000 0.0000
Sc1 0.0000 0.5000 0.5000
Sc2 0.1022 0.2660 0.5000
Sc3 0.1317 0.0753 0.5000
Pb1 0.1549 0.4021 0.5000
# size of the total moment	6.54	μB per cell
# formation energy from the elements	-0.132	eV/atom